Entry 1:
The following is a PBE-GGA calculation of a relaxed structure of PrCo3P2, from Alexandria.

a = 7.3900 Å, b = 7.3900 Å, c = 7.0493 Å
α = 113.58°, β = 113.58°, γ = 29.39°
Sites, in units of the cell vectors:
Pr  0.1507  0.1507  0.0650
Pr  0.8493  0.8493  0.9350
Co  0.0439  0.0439  0.3742
Co  0.3156  0.3156  0.5623
Co  0.4051  0.4051  0.3337
Co  0.5949  0.5949  0.6663
Co  0.6844  0.6844  0.4377
Co  0.9561  0.9561  0.6258
P  0.1858  0.1858  0.6618
P  0.4780  0.4780  0.7919
P  0.5220  0.5220  0.2081
P  0.8142  0.8142  0.3382

Values from the calculation:
Calculated formation energy   -76 kJ/mol of atoms
Relative energy among the computed polymorphs   0.0431 eV/atom

=====

Entry 2:
The following is a PBE-GGA calculation of a relaxed structure of Ac7Cd2Ga2, from Alexandria.

a = 7.2409 Å, b = 7.2409 Å, c = 8.5952 Å
α = 90.00°, β = 90.00°, γ = 111.35°
Sites, in units of the cell vectors:
Ac  0.0000  0.0000  0.0000
Ac  0.0000  0.5000  0.2962
Ac  0.0000  0.5000  0.7038
Ac  0.5000  0.0000  0.2962
Ac  0.5000  0.0000  0.7038
Ac  0.5000  0.5000  0.2784
Ac  0.5000  0.5000  0.7216
Cd  0.2987  0.7013  0.0000
Cd  0.7013  0.2987  0.0000
Ga  0.1590  0.1590  0.5000
Ga  0.8410  0.8410  0.5000

Values from the calculation:
Calculated formation energy   -1 kJ/mol of atoms

=====

Entry 3:
The following is a PBE-GGA calculation of a relaxed structure of MnTe2Pt, from Alexandria.

a = 4.9476 Å, b = 4.9476 Å, c = 4.9476 Å
α = 60.00°, β = 60.00°, γ = 60.00°
Sites, in units of the cell vectors:
Mn  0.0000  0.0000  0.0000
Te  0.5000  0.5000  0.5000
Te  0.7500  0.7500  0.7500
Pt  0.2500  0.2500  0.2500

Values from the calculation:
Raw formation energy   420 meV per atom
Relative energy among the computed polymorphs   0.6583 eV/atom

=====

Entry 4:
The following is a PBE-GGA calculation of a relaxed structure of InH2N, from Alexandria.

a = 3.6343 Å, b = 3.6343 Å, c = 3.6343 Å
α = 60.00°, β = 60.00°, γ = 60.00°
Sites, in units of the cell vectors:
In  0.0000  0.0000  0.0000
H  0.2500  0.2500  0.2500
H  0.7500  0.7500  0.7500
N  0.5000  0.5000  0.5000

Values from the calculation:
Relative energy among the computed polymorphs   0.7797 eV/atom

=====

Entry 5:
The following is a PBE-GGA calculation of a relaxed structure of NbInRu, from Alexandria.

a = 4.4167 Å, b = 4.4167 Å, c = 4.4167 Å
α = 60.00°, β = 60.00°, γ = 60.00°
Sites, in units of the cell vectors:
Nb  0.0000  0.0000  0.0000
In  0.5000  0.5000  0.5000
Ru  0.2500  0.2500  0.2500

Values from the calculation:
Calculated formation energy   16 kJ/mol of atoms

=====

Entry 6:
The following is a PBE-GGA calculation of a relaxed structure of Nd2TmIn4, from Alexandria.

a = 8.9868 Å, b = 8.9868 Å, c = 8.9868 Å
α = 143.90°, β = 143.90°, γ = 51.98°
Sites, in units of the cell vectors:
Nd  0.1137  0.1137  0.0000
Nd  0.8863  0.8863  0.0000
Tm  0.5000  0.5000  0.0000
In  0.0000  0.5000  0.5000
In  0.3139  0.3139  0.0000
In  0.5000  0.0000  0.5000
In  0.6861  0.6861  0.0000

Values from the calculation:
Calculated formation energy   11 kJ/mol of atoms
Relative energy among the computed polymorphs   0.4387 eV/atom

=====

Entry 7:
The following is a PBE-GGA calculation of a relaxed structure of La3TbN, from Alexandria.

a = 5.2192 Å, b = 5.2192 Å, c = 5.2192 Å
α = 90.00°, β = 90.00°, γ = 90.00°
Sites, in units of the cell vectors:
La  0.0000  0.0000  0.5000
La  0.0000  0.5000  0.0000
La  0.5000  0.0000  0.0000
Tb  0.5000  0.5000  0.5000
N  0.0000  0.0000  0.0000

Values from the calculation:
Raw formation energy   -490 meV per atom

=====

Entry 8:
The following is a PBE-GGA calculation of a relaxed structure of Ca3ZrSc, from Alexandria.

a = 5.6675 Å, b = 5.6675 Å, c = 5.6675 Å
α = 90.00°, β = 90.00°, γ = 90.00°
Sites, in units of the cell vectors:
Ca  0.0000  0.0000  0.5000
Ca  0.0000  0.5000  0.0000
Ca  0.5000  0.0000  0.0000
Zr  0.0000  0.0000  0.0000
Sc  0.5000  0.5000  0.5000

Values from the calculation:
Calculated formation energy   93 kJ/mol of atoms
Relative energy among the computed polymorphs   0.0000 eV/atom

=====

Entry 9:
The following is a PBE-GGA calculation of a relaxed structure of Zn7GePd4, from Alexandria.

a = 6.5293 Å, b = 6.5293 Å, c = 9.1319 Å
α = 125.92°, β = 125.92°, γ = 40.56°
Sites, in units of the cell vectors:
Zn  0.0000  0.0000  0.0000
Zn  0.0905  0.0905  0.8004
Zn  0.2295  0.2295  0.6800
Zn  0.4392  0.4392  0.5832
Zn  0.5608  0.5608  0.4168
Zn  0.7705  0.7705  0.3200
Zn  0.9095  0.9095  0.1996
Ge  0.5000  0.5000  0.0000
Pd  0.1712  0.1712  0.3600
Pd  0.2873  0.2873  0.1669
Pd  0.7127  0.7127  0.8331
Pd  0.8288  0.8288  0.6400

Values from the calculation:
Calculated formation energy   -16 kJ/mol of atoms

=====

Entry 10:
The following is a PBE-GGA calculation of a relaxed structure of AlGa2Si2Ni5, from Alexandria.

a = 8.5113 Å, b = 8.5113 Å, c = 3.4934 Å
α = 90.00°, β = 90.00°, γ = 90.00°
Sites, in units of the cell vectors:
Al  0.0000  0.0000  0.0000
Al  0.5000  0.5000  0.0000
Ga  0.1714  0.3286  0.0000
Ga  0.3286  0.8286  0.0000
Ga  0.6714  0.1714  0.0000
Ga  0.8286  0.6714  0.0000
Si  0.1266  0.6266  0.0000
Si  0.3734  0.1266  0.0000
Si  0.6266  0.8734  0.0000
Si  0.8734  0.3734  0.0000
Ni  0.0000  0.5000  0.5000
Ni  0.0872  0.8022  0.5000
Ni  0.1978  0.0872  0.5000
Ni  0.3022  0.5872  0.5000
Ni  0.4128  0.3022  0.5000
Ni  0.5000  0.0000  0.5000
Ni  0.5872  0.6978  0.5000
Ni  0.6978  0.4128  0.5000
Ni  0.8022  0.9128  0.5000
Ni  0.9128  0.1978  0.5000

Values from the calculation:
Raw formation energy   -251 meV per atom

=====

| no. | final energy (eV for the cell shown) |
| --- | --- |
| 1 | -83.30 |
| 2 | -36.70 |
| 3 | -19.81 |
| 4 | -12.45 |
| 5 | -21.58 |
| 6 | -24.16 |
| 7 | -30.19 |
| 8 | -16.06 |
| 9 | -36.33 |
| 10 | -104.11 |